A relaxed Er3PaRh4 crystal, computed with PBE.

Summary:
calculated total energy = -178.72 eV for the cell shown
total magnetic moment = 0.00 μB per cell
energy of formation = -0.8729 eV/atom
calculated density = 11.776 Mg/m³

Cell lengths 4.8886, 4.8886, 23.3919 Å; angles 90.00, 90.00, 120.00 degrees
Space group R-3m (No. 166, hexagonal axes)
Unique sites:
Er: 0.0000 0.0000 0.0000 x3
Er: 0.0000 0.0000 0.2543 x6
Pa: 0.0000 0.0000 0.5000 x3
Rh: 0.0000 0.0000 0.1290 x6
Rh: 0.0000 0.0000 0.3877 x6

***

A relaxed BeFe2Br crystal, computed with PBE.

Summary:
energy relative to the elements, uncorrected = 668 meV/atom
calculated total energy = -19.65 eV for the cell shown
energy above the most stable polymorph in this dataset = 0.408 eV/atom
total magnetic moment = 4.90 μB per cell
calculated density = 6.259 Mg/m³

Cell lengths 4.375, 2.980, 4.377 Å; angles 90.00, 111.18, 90.00 degrees
Space group P2/m (No. 10)
Unique sites:
Be: 0.000 0.000 0.000 x1
Fe: 0.500 0.000 0.500 x1
Fe: 0.500 0.500 0.000 x1
Br: 0.000 0.500 0.500 x1

***

A relaxed AcTm3Rh8 crystal, computed with PBE.

Summary:
calculated total energy = -84.28 eV for the cell shown
total magnetic moment = 0.00 μB per cell
energy of formation = -0.6617 eV/atom
calculated density = 11.776 Mg/m³

Cell lengths 5.3601, 5.3601, 8.8244 Å; angles 90.00, 90.00, 120.00 degrees
Space group P3m1 (No. 156)
Unique sites:
Ac: 0.0000 0.0000 0.0000 x1
Tm: 0.0000 0.0000 0.3709 x1
Tm: 0.6667 0.3333 0.4953 x1
Tm: 0.6667 0.3333 0.8557 x1
Rh: 0.1653 0.3307 0.6756 x3
Rh: 0.3333 0.6667 0.4329 x1
Rh: 0.3333 0.6667 0.9303 x1
Rh: 0.5024 0.0048 0.1914 x3

***

A relaxed Ca2IN2 crystal, computed with PBE.

Summary:
energy relative to the elements, uncorrected = 255 meV/atom
calculated total energy = -41.86 eV for the cell shown
energy above the most stable polymorph in this dataset = 1.181 eV/atom
total magnetic moment = 5.23 μB per cell
calculated density = 3.952 Mg/m³

Cell lengths 7.679, 7.679, 3.349 Å; angles 90.00, 90.00, 90.00 degrees
Space group P4/mbm (No. 127)
Unique sites:
Ca: 0.148 0.352 0.000 x4
I: 0.000 0.000 0.000 x2
N: 0.161 0.661 0.500 x4

***

A relaxed SrP2Pd2 crystal, computed with PBE.

Summary:
calculated total energy = -52.63 eV for the cell shown
total magnetic moment = 0.00 μB per cell
energy of formation = -0.6858 eV/atom
calculated density = 6.166 Mg/m³

Cell lengths 4.557, 4.557, 9.400 Å; angles 90.00, 90.00, 90.00 degrees
Space group I4/mmm (No. 139)
Unique sites:
Sr: 0.000 0.000 0.000 x2
P: 0.000 0.500 0.250 x4
Pd: 0.000 0.000 0.345 x4

***

A relaxed CdSiSn2 crystal, computed with PBE.

Summary:
energy relative to the elements, uncorrected = 301 meV/atom
calculated total energy = -52.56 eV for the cell shown
energy above the most stable polymorph in this dataset = 0.034 eV/atom
total magnetic moment = 0.00 μB per cell
calculated density = 6.629 Mg/m³

Cell lengths 7.235, 7.235, 7.235 Å; angles 90.00, 90.00, 90.00 degrees
Space group Fm-3m (No. 225)
Unique sites:
Cd: 0.000 0.000 0.000 x4
Si: 0.000 0.000 0.500 x4
Sn: 0.250 0.250 0.250 x8

***

A relaxed CaTeSeF crystal, computed with PBE.

Summary:
energy relative to the elements, uncorrected = -1713 meV/atom
calculated total energy = -17.35 eV for the cell shown
energy above the most stable polymorph in this dataset = 0.001 eV/atom
total magnetic moment = 0.00 μB per cell
calculated density = 4.454 Mg/m³

Cell lengths 3.841, 5.691, 4.530 Å; angles 90.00, 90.00, 90.00 degrees
Space group Pmm2 (No. 25)
Unique sites:
Ca: 0.000 0.000 0.000 x1
Te: 0.500 0.500 0.717 x1
Se: 0.000 0.500 0.224 x1
F: 0.500 0.000 0.219 x1

***

A relaxed NbTe2NCl crystal, computed with PBE.

Summary:
energy relative to the elements, uncorrected = 175 meV/atom
calculated total energy = -25.65 eV for the cell shown
energy above the most stable polymorph in this dataset = 0.000 eV/atom
total magnetic moment = 0.00 μB per cell
calculated density = 5.425 Mg/m³

Cell lengths 5.565, 5.565, 3.929 Å; angles 90.00, 90.00, 90.00 degrees
Space group P4/mmm (No. 123)
Unique sites:
Nb: 0.000 0.000 0.000 x1
Te: 0.000 0.500 0.000 x2
N: 0.000 0.000 0.500 x1
Cl: 0.500 0.500 0.500 x1